Crystalline K4P2O7 at its relaxed geometry, computed with GGA-PBEsol.

```
26
Lattice="5.9026 0.0000 0.0000 -2.9513 5.1118 0.0000 0.0000 0.0000 14.8988" Properties=species:S:1:pos:R:3 pbc="T T T"
K 0.0000 0.0000 0.0000
K 0.0000 3.4078 13.7107
K 0.0000 0.0000 7.4494
K 0.0000 0.0000 3.7247
K 2.9513 1.7039 1.1880
K 2.9513 1.7039 6.2613
K 0.0000 0.0000 11.1741
K 0.0000 3.4078 8.6374
P 2.9513 1.7039 9.5644
P 2.9513 1.7039 12.7838
P 0.0000 3.4078 5.3344
P 0.0000 3.4078 2.1150
O 1.2722 4.1423 5.7589
O 0.0000 1.9388 1.6905
O 4.2235 0.9694 9.1398
O 1.6791 0.9694 13.2083
O -1.2722 4.1423 1.6905
O 0.0000 1.9388 5.7589
O 4.2235 0.9694 13.2083
O 2.9513 3.1729 9.1398
O 2.9513 3.1729 13.2083
O 1.2722 4.1423 1.6905
O 1.6791 0.9694 9.1398
O -1.2722 4.1423 5.7589
O 2.9513 1.7039 11.1741
O 0.0000 3.4078 3.7247
```

Symmetry: No. 194
N(E_F), states/eV/atom: 0.000
Formation energy (no corrections), meV per atom: -2252
Calculated density, kg/m³: 2440